Record 1
Below is an optimized crystal structure of LaSiIO2, with properties calculated at the GGA-PBEsol level.

Values from the calculation:
Magnetic moment = 0.175 μB per atom
Volume = 25.4 Å³/atom
Uncorrected formation energy = -0.83 eV/atom

a b c (Å): 4.3327 4.3327 6.7640
angles (deg): 90.00 90.00 90.00
With the nearest neighbours (Å) after each atom.
Space group P4/mmm (No. 123)
Unique sites:
La1 0.0000 0.0000 0.0000 x1  4 O 2.17
Si1 0.5000 0.5000 0.5000 x1  4 I 3.06
I1 0.0000 0.0000 0.5000 x1  4 Si 3.06, 2 La 3.38
O1 0.0000 0.5000 0.0000 x2  2 La 2.17

Record 2
Below is an optimized crystal structure of LaTcI2O, with properties calculated at the GGA-PBEsol level.

Values from the calculation:
Magnetic moment = 0.000 μB per atom
Volume = 23.4 Å³/atom
Uncorrected formation energy = -0.71 eV/atom

a b c (Å): 5.5819 5.5819 3.7616
angles (deg): 90.00 90.00 90.00
With the nearest neighbours (Å) after each atom.
Space group P4/mmm (No. 123)
Unique sites:
La1 0.0000 0.0000 0.0000 x1  8 I 3.37, 2 La 3.76
Tc1 0.5000 0.5000 0.5000 x1  2 O 1.88
I1 0.0000 0.5000 0.5000 x2  2 Tc 2.79
O1 0.5000 0.5000 0.0000 x1  2 Tc 1.88

Record 3
Below is an optimized crystal structure of LaTe2IO, with properties calculated at the GGA-PBEsol level.

Values from the calculation:
Magnetic moment = 0.000 μB per atom
Volume = 24.9 Å³/atom
Uncorrected formation energy = -0.82 eV/atom

a b c (Å): 4.5808 4.5808 5.9332
angles (deg): 90.00 90.00 90.00
With the nearest neighbours (Å) after each atom.
Space group P4/mmm (No. 123)
Unique sites:
La1 0.0000 0.0000 0.0000 x1  4 I 3.24
Te1 0.0000 0.5000 0.5000 x2  2 O 2.29
I1 0.5000 0.5000 0.0000 x1  2 O 2.97, 4 La 3.24
O1 0.5000 0.5000 0.5000 x1  4 Te 2.29

Record 4
Below is an optimized crystal structure of LaWI2O, with properties calculated at the GGA-PBEsol level.

Values from the calculation:
Magnetic moment = 0.003 μB per atom
Volume = 24.3 Å³/atom
Uncorrected formation energy = -0.54 eV/atom

a b c (Å): 5.6380 5.6380 3.8173
angles (deg): 90.00 90.00 90.00
With the nearest neighbours (Å) after each atom.
Space group P4/mmm (No. 123)
Unique sites:
La1 0.0000 0.0000 0.0000 x1  8 I 3.40
W1 0.5000 0.5000 0.5000 x1  2 O 1.91
I1 0.0000 0.5000 0.5000 x2  2 W 2.82
O1 0.5000 0.5000 0.0000 x1  2 W 1.91

Record 5
Below is an optimized crystal structure of LaZrIO2, with properties calculated at the GGA-PBEsol level.

Values from the calculation:
Magnetic moment = 0.000 μB per atom
Volume = 20.3 Å³/atom
Uncorrected formation energy = -1.76 eV/atom

a b c (Å): 4.2442 4.2442 5.6342
angles (deg): 90.00 90.00 90.00
With the nearest neighbours (Å) after each atom.
Space group P4/mmm (No. 123)
Unique sites:
La1 0.0000 0.0000 0.0000 x1  4 I 3.00
Zr1 0.5000 0.5000 0.5000 x1  4 O 2.12
I1 0.5000 0.5000 0.0000 x1  2 Zr 2.82, 4 La 3.00
O1 0.0000 0.5000 0.5000 x2  2 Zr 2.12

Record 6
Below is an optimized crystal structure of LaOsI3, with properties calculated at the GGA-PBEsol level.

Values from the calculation:
Magnetic moment = 0.045 μB per atom
Volume = 29.3 Å³/atom
Uncorrected formation energy = 0.10 eV/atom

a b c (Å): 5.2697 5.2697 5.2697
angles (deg): 90.00 90.00 90.00
With the nearest neighbours (Å) after each atom.
Space group Pm-3m (No. 221)
Unique sites:
La1 0.0000 0.0000 0.0000 x1  12 I 3.73
Os1 0.5000 0.5000 0.5000 x1  6 I 2.63
I1 0.0000 0.5000 0.5000 x3  2 Os 2.63

Record 7
Below is an optimized crystal structure of La2Os2I, with properties calculated at the GGA-PBEsol level.

Values from the calculation:
Magnetic moment = 0.000 μB per atom
Volume = 27.9 Å³/atom
Uncorrected formation energy = -0.54 eV/atom

a b c (Å): 4.2681 4.2681 17.6863
angles (deg): 90.00 90.00 120.00
With the nearest neighbours (Å) after each atom.
Space group P6_3/mmc (No. 194)
Unique sites:
La1 0.0000 0.0000 0.1110 x4  6 Os 3.14-3.16, 3 I 3.48
Os1 0.3333 0.6667 0.0010 x4  3 Os 2.46
I1 0.3333 0.6667 0.2500 x2  6 La 3.48

Record 8
Below is an optimized crystal structure of La6OsI10, with properties calculated at the GGA-PBEsol level.

Values from the calculation:
Magnetic moment = 0.091 μB per atom
Volume = 40.5 Å³/atom
Uncorrected formation energy = -1.28 eV/atom

a b c (Å): 7.9685 9.8600 9.8715
angles (deg): 108.22 97.37 105.80
With the nearest neighbours (Å) after each atom.
Space group P-1 (No. 2)
Unique sites:
La1 0.0297 0.2105 0.4130 x2  1 Os 2.80
La2 0.1169 0.5401 0.2575 x2  1 Os 2.78
La3 0.3709 0.6402 0.6822 x2  1 Os 2.96, 4 I 3.11-3.31
Os1 0.0000 0.5000 0.5000 x1  6 La 2.78-2.96
I1 0.0873 0.8710 0.3145 x2  3 La 3.21-3.36
I2 0.2005 0.2280 0.1375 x2  3 La 3.22-3.33
I3 0.2697 0.5864 0.9669 x2  3 La 3.18-3.37
I4 0.3670 0.9714 0.7764 x2  2 La 3.11-3.16
I5 0.4517 0.3157 0.5904 x2  4 La 3.28-3.31

Record 9
Below is an optimized crystal structure of La10Os2I15, with properties calculated at the GGA-PBEsol level.

Values from the calculation:
Magnetic moment = 0.000 μB per atom
Volume = 38.9 Å³/atom
Uncorrected formation energy = -1.24 eV/atom

a b c (Å): 9.9452 10.8333 11.6459
angles (deg): 92.10 114.03 110.35
With the nearest neighbours (Å) after each atom.
Space group P-1 (No. 2)
Unique sites:
La1 0.0259 0.2040 0.0981 x2  1 Os 2.85
La2 0.0876 0.5415 0.3306 x2  1 Os 2.85
La3 0.1667 0.2460 0.8205 x2  1 Os 2.72
La4 0.2295 0.5819 0.0528 x2  2 Os 2.84-2.98
La5 0.3021 0.9096 0.2791 x2  1 Os 2.82
Os1 0.0324 0.6749 0.1205 x2  6 La 2.72-2.98
I1 0.0957 0.0471 0.3462 x2  3 La 3.21-3.36
I2 0.1483 0.3885 0.5814 x2  3 La 3.20-3.36
I3 0.2217 0.7446 0.8172 x2  3 La 3.20-3.30
I4 0.2738 0.0910 0.0570 x2  4 La 3.28-3.31
I5 0.3500 0.4454 0.3046 x2  3 La 3.22-3.30
I6 0.3922 0.7973 0.5373 x2  3 La 3.19-3.38
I7 0.4279 0.1502 0.7674 x2  3 La 3.21-3.37
I8 0.5000 0.5000 0.0000 x1  4 La 3.24-3.37

Record 10
Below is an optimized crystal structure of La2PI2, with properties calculated at the GGA-PBEsol level.

Values from the calculation:
Magnetic moment = 0.000 μB per atom
Volume = 34.6 Å³/atom
Uncorrected formation energy = -1.59 eV/atom

a b c (Å): 4.2710 4.2710 10.9533
angles (deg): 90.00 90.00 120.00
With the nearest neighbours (Å) after each atom.
Space group P-3m1 (No. 164)
Unique sites:
La1 0.3333 0.6667 0.3537 x2  3 P 2.94, 3 I 3.24
P1 0.0000 0.0000 0.5000 x1  6 La 2.94
I1 0.3333 0.6667 0.8388 x2  3 La 3.24

Record 11
Below is an optimized crystal structure of LaPS2I, with properties calculated at the GGA-PBEsol level.

Values from the calculation:
Magnetic moment = 0.000 μB per atom
Volume = 25.4 Å³/atom
Uncorrected formation energy = -0.06 eV/atom

a b c (Å): 5.0252 5.0252 5.0193
angles (deg): 90.00 90.00 90.00
With the nearest neighbours (Å) after each atom.
Space group P4/mmm (No. 123)
Unique sites:
La1 0.0000 0.0000 0.0000 x1  8 S 3.55, 4 P 3.55
P1 0.5000 0.5000 0.0000 x1  2 I 2.51
S1 0.0000 0.5000 0.5000 x2  2 I 2.51
I1 0.5000 0.5000 0.5000 x1  2 P 2.51, 4 S 2.51

Record 12
Below is an optimized crystal structure of LaSi2PI, with properties calculated at the GGA-PBEsol level.

Values from the calculation:
Magnetic moment = 0.000 μB per atom
Volume = 26.9 Å³/atom
Uncorrected formation energy = 0.77 eV/atom

a b c (Å): 5.0898 5.0898 5.1863
angles (deg): 90.00 90.00 90.00
With the nearest neighbours (Å) after each atom.
Space group P4/mmm (No. 123)
Unique sites:
La1 0.0000 0.0000 0.0000 x1  4 P 3.60, 8 Si 3.63
Si1 0.0000 0.5000 0.5000 x2  2 I 2.54
P1 0.5000 0.5000 0.0000 x1  2 I 2.59
I1 0.5000 0.5000 0.5000 x1  4 Si 2.54, 2 P 2.59

Record 13
Below is an optimized crystal structure of La2Pb2I, with properties calculated at the GGA-PBEsol level.

Values from the calculation:
Magnetic moment = 0.000 μB per atom
Volume = 33.1 Å³/atom
Uncorrected formation energy = -0.78 eV/atom

a b c (Å): 8.6621 8.6621 4.4053
angles (deg): 90.00 90.00 90.00
With the nearest neighbours (Å) after each atom.
Space group P4/mbm (No. 127)
Unique sites:
La1 0.1775 0.3225 0.0000 x4  2 I 3.19, 6 Pb 3.31-3.43
Pb1 0.1204 0.6204 0.5000 x4  1 Pb 2.95
I1 0.0000 0.0000 0.0000 x2  4 La 3.19

Record 14
Below is an optimized crystal structure of LaPb3I, with properties calculated at the GGA-PBEsol level.

Values from the calculation:
Magnetic moment = 0.000 μB per atom
Volume = 44.6 Å³/atom
Uncorrected formation energy = 0.60 eV/atom

a b c (Å): 6.0663 6.0663 6.0663
angles (deg): 90.00 90.00 90.00
With the nearest neighbours (Å) after each atom.
Space group Pm-3m (No. 221)
Unique sites:
La1 0.0000 0.0000 0.0000 x1  6 Pb 3.03
Pb1 0.0000 0.0000 0.5000 x3  2 La 3.03
I1 0.5000 0.5000 0.5000 x1  12 Pb 4.29

Record 15
Below is an optimized crystal structure of La2TePbI, with properties calculated at the GGA-PBEsol level.

Values from the calculation:
Magnetic moment = 0.000 μB per atom
Volume = 41.4 Å³/atom
Uncorrected formation energy = -0.06 eV/atom

a b c (Å): 6.0277 6.0277 5.7028
angles (deg): 90.00 90.00 90.00
With the nearest neighbours (Å) after each atom.
Space group P4/mmm (No. 123)
Unique sites:
La1 0.0000 0.5000 0.0000 x2  2 Te 3.01
Te1 0.0000 0.0000 0.0000 x1  2 I 2.85, 4 La 3.01
Pb1 0.5000 0.5000 0.5000 x1  8 La 4.15, 4 I 4.26
I1 0.0000 0.0000 0.5000 x1  2 Te 2.85

Record 16
Below is an optimized crystal structure of LaTiPb2I, with properties calculated at the GGA-PBEsol level.

Values from the calculation:
Magnetic moment = 0.337 μB per atom
Volume = 34.5 Å³/atom
Uncorrected formation energy = 0.54 eV/atom

a b c (Å): 5.9089 5.9089 4.9379
angles (deg): 90.00 90.00 90.00
With the nearest neighbours (Å) after each atom.
Space group P4/mmm (No. 123)
Unique sites:
La1 0.0000 0.0000 0.0000 x1  8 Pb 3.85, 4 Ti 4.18
Ti1 0.5000 0.5000 0.0000 x1  2 I 2.47
Pb1 0.0000 0.5000 0.5000 x2  2 I 2.95
I1 0.5000 0.5000 0.5000 x1  2 Ti 2.47

Record 17
Below is an optimized crystal structure of LaPd3I, with properties calculated at the GGA-PBEsol level.

Values from the calculation:
Magnetic moment = 0.000 μB per atom
Volume = 24.3 Å³/atom
Uncorrected formation energy = 0.09 eV/atom

a b c (Å): 4.9508 4.9508 4.9508
angles (deg): 90.00 90.00 90.00
With the nearest neighbours (Å) after each atom.
Space group Pm-3m (No. 221)
Unique sites:
La1 0.0000 0.0000 0.0000 x1  12 Pd 3.50
Pd1 0.0000 0.5000 0.5000 x3  2 I 2.48
I1 0.5000 0.5000 0.5000 x1  6 Pd 2.48

Record 18
Below is an optimized crystal structure of La3PtI, with properties calculated at the GGA-PBEsol level.

Values from the calculation:
Magnetic moment = 0.000 μB per atom
Volume = 36.5 Å³/atom
Uncorrected formation energy = -0.51 eV/atom

a b c (Å): 5.6712 5.6712 5.6712
angles (deg): 90.00 90.00 90.00
With the nearest neighbours (Å) after each atom.
Space group Pm-3m (No. 221)
Unique sites:
La1 0.0000 0.0000 0.5000 x3  2 Pt 2.84
Pt1 0.0000 0.0000 0.0000 x1  6 La 2.84
I1 0.5000 0.5000 0.5000 x1  12 La 4.01

Record 19
Below is an optimized crystal structure of La2PtI2, with properties calculated at the GGA-PBEsol level.

Values from the calculation:
Magnetic moment = 0.000 μB per atom
Volume = 31.1 Å³/atom
Uncorrected formation energy = -0.52 eV/atom

a b c (Å): 6.1076 6.1076 8.3353
angles (deg): 90.00 90.00 90.00
With the nearest neighbours (Å) after each atom.
Space group I4/mmm (No. 139)
Unique sites:
La1 0.0000 0.5000 0.2500 x4  4 I 3.09
Pt1 0.0000 0.0000 0.0000 x2  2 I 2.56
I1 0.0000 0.0000 0.3068 x4  1 Pt 2.56

Record 20
Below is an optimized crystal structure of LaSb2PtI, with properties calculated at the GGA-PBEsol level.

Values from the calculation:
Magnetic moment = 0.001 μB per atom
Volume = 42.0 Å³/atom
Uncorrected formation energy = 1.07 eV/atom

a b c (Å): 6.0066 6.0066 5.8253
angles (deg): 90.00 90.00 90.00
With the nearest neighbours (Å) after each atom.
Space group P4/mmm (No. 123)
Unique sites:
La1 0.0000 0.0000 0.0000 x1  2 I 2.91, 4 Sb 3.00
Sb1 0.0000 0.5000 0.0000 x2  2 La 3.00
Pt1 0.5000 0.5000 0.5000 x1  8 Sb 4.18, 4 I 4.25
I1 0.0000 0.0000 0.5000 x1  2 La 2.91

Record 21
Below is an optimized crystal structure of Rb2LaI5, with properties calculated at the GGA-PBEsol level.

Values from the calculation:
Magnetic moment = 0.000 μB per atom
Volume = 41.4 Å³/atom
Uncorrected formation energy = -1.52 eV/atom

a b c (Å): 14.4739 9.9646 9.1815
angles (deg): 90.00 90.00 90.00
With the nearest neighbours (Å) after each atom.
Space group Pnma (No. 62)
Unique sites:
Rb1 0.1716 0.0070 0.0699 x8  8 I 3.62-3.96
La1 0.0066 0.2500 0.5798 x4  7 I 3.17-3.28
I1 0.0067 0.2500 0.9303 x4  1 La 3.22
I2 0.0713 0.5476 0.6732 x8  2 La 3.23-3.28
I3 0.1867 0.2500 0.3822 x4  1 La 3.18
I4 0.2077 0.7500 0.3463 x4  1 La 3.17

Record 22
Below is an optimized crystal structure of RbLaI3, with properties calculated at the GGA-PBEsol level.

Values from the calculation:
Magnetic moment = 0.001 μB per atom
Volume = 47.9 Å³/atom
Uncorrected formation energy = -1.28 eV/atom

a b c (Å): 6.2097 6.2097 6.2097
angles (deg): 90.00 90.00 90.00
With the nearest neighbours (Å) after each atom.
Space group Pm-3m (No. 221)
Unique sites:
Rb1 0.0000 0.0000 0.0000 x1  12 I 4.39
La1 0.5000 0.5000 0.5000 x1  6 I 3.10
I1 0.0000 0.5000 0.5000 x3  2 La 3.10

Record 23
Below is an optimized crystal structure of RbLaSbI2, with properties calculated at the GGA-PBEsol level.

Values from the calculation:
Magnetic moment = 0.001 μB per atom
Volume = 47.0 Å³/atom
Uncorrected formation energy = -0.90 eV/atom

a b c (Å): 6.2478 6.2478 6.0173
angles (deg): 90.00 90.00 90.00
With the nearest neighbours (Å) after each atom.
Space group P4/mmm (No. 123)
Unique sites:
Rb1 0.0000 0.0000 0.0000 x1  8 I 4.34, 4 Sb 4.42
La1 0.5000 0.5000 0.5000 x1  2 Sb 3.01, 4 I 3.12
Sb1 0.5000 0.5000 0.0000 x1  2 La 3.01
I1 0.0000 0.5000 0.5000 x2  2 La 3.12

Record 24
Below is an optimized crystal structure of RbLaZn2I, with properties calculated at the GGA-PBEsol level.

Values from the calculation:
Magnetic moment = 0.000 μB per atom
Volume = 41.9 Å³/atom
Uncorrected formation energy = 0.01 eV/atom

a b c (Å): 5.8246 5.8246 6.1794
angles (deg): 90.00 90.00 90.00
With the nearest neighbours (Å) after each atom.
Space group P4/mmm (No. 123)
Unique sites:
Rb1 0.0000 0.0000 0.0000 x1  4 I 4.12, 8 Zn 4.25
La1 0.5000 0.5000 0.5000 x1  4 Zn 2.91, 2 I 3.09
Zn1 0.0000 0.5000 0.5000 x2  2 La 2.91
I1 0.5000 0.5000 0.0000 x1  2 La 3.09

Record 25
Below is an optimized crystal structure of La3ReI, with properties calculated at the GGA-PBEsol level.

Values from the calculation:
Magnetic moment = 0.637 μB per atom
Volume = 38.0 Å³/atom
Uncorrected formation energy = 1.13 eV/atom

a b c (Å): 5.7477 5.7477 5.7477
angles (deg): 90.00 90.00 90.00
With the nearest neighbours (Å) after each atom.
Space group Pm-3m (No. 221)
Unique sites:
La1 0.0000 0.0000 0.5000 x3  2 I 2.87
Re1 0.5000 0.5000 0.5000 x1  12 La 4.06
I1 0.0000 0.0000 0.0000 x1  6 La 2.87